Entry 1:
Compound: Nb3HgPt
Source: Alexandria
Functional: PBE
Structure: relaxed

Calculated values
- M_tot: 0.0 μB per formula unit
- Calculated total energy: -31.7 eV for the cell shown

Cell lengths 4.913, 4.913, 4.913 Å; angles 90.00, 90.00, 90.00 degrees
Space group Pm-3m (No. 221)
Inequivalent atoms, fractional coordinates:
Nb (0.000, 0.000, 0.500)
Hg (0.500, 0.500, 0.500)
Pt (0.000, 0.000, 0.000)

Entry 2:
Compound: Sc2SiRh
Source: Alexandria
Functional: PBE
Structure: relaxed

Calculated values
- M_tot: 0.0 μB per formula unit
- Calculated total energy: -57.7 eV for the cell shown

Cell lengths 4.256, 3.306, 10.238 Å; angles 90.00, 90.00, 90.00 degrees
Space group Amm2 (No. 38)
Inequivalent atoms, fractional coordinates:
Sc (0.000, 0.000, 0.000)
Sc (0.500, 0.000, 0.298)
Si (0.500, 0.000, 0.577)
Rh (0.000, 0.000, 0.725)

Entry 3:
Compound: Ir5OsRh
Source: Alexandria
Functional: PBE
Structure: relaxed

Calculated values
- M_tot: 0.0 μB per formula unit
- Calculated total energy: -122.6 eV for the cell shown

Cell lengths 5.410, 7.544, 5.378 Å; angles 90.00, 90.00, 90.00 degrees
Space group Cmmm (No. 65)
Inequivalent atoms, fractional coordinates:
Ir (0.000, 0.000, 0.000)
Ir (0.250, 0.250, 0.257)
Os (0.000, 0.500, 0.000)
Rh (0.000, 0.000, 0.500)

Entry 4:
Compound: Tc5C
Source: Alexandria
Functional: PBE
Structure: relaxed

Calculated values
- M_tot: 0.0 μB per formula unit
- Calculated total energy: -209.4 eV for the cell shown

Cell lengths 7.117, 7.117, 7.117 Å; angles 90.00, 90.00, 90.00 degrees
Space group F-43m (No. 216)
Inequivalent atoms, fractional coordinates:
Tc (0.000, 0.000, 0.000)
Tc (0.124, 0.124, 0.376)
C (0.250, 0.250, 0.750)